No. 1
The following is a DFT calculation (PBE) of a relaxed structure of ErThCu2Ge2.

Its final energy is -0.4085 Ry/atom. The space group is P-3m1 (164). As for the magnetic moment: 0.0 μB per formula unit.

a = 4.2324 Å, b = 4.2324 Å, c = 7.6787 Å
α = 90.00°, β = 90.00°, γ = 120.00°
Element x y z (fractional)
Ge: 0.3333 0.6667 0.2387
Cu: 0.3333 0.6667 0.7606
Th: 0.0000 0.0000 0.5000
Er: 0.0000 0.0000 0.0000
Ge: 0.6667 0.3333 0.7613
Cu: 0.6667 0.3333 0.2394

No. 2
The following is a DFT calculation (PBE) of a relaxed structure of ErTm2Cu2Ge2.

Its final energy is -0.3602 Ry/atom. The space group is R-3m (166). As for the magnetic moment: 0.0 μB per formula unit.

a = 4.1658 Å, b = 4.1658 Å, c = 10.2397 Å
α = 78.26°, β = 78.26°, γ = 60.00°
Element x y z (fractional)
Ge: 0.2695 0.2695 0.1916
Er: 0.0000 0.0000 0.0000
Tm: 0.1222 0.1222 0.6335
Cu: 0.3935 0.3935 0.8194
Ge: 0.7305 0.7305 0.8084
Cu: 0.6065 0.6065 0.1806
Tm: 0.8778 0.8778 0.3665

No. 3
The following is a DFT calculation (PBE) of a relaxed structure of YErCu2Ge2.

Its final energy is -0.3992 Ry/atom. The space group is P-3m1 (164). As for the magnetic moment: 0.0 μB per formula unit.

a = 4.2331 Å, b = 4.2331 Å, c = 7.3661 Å
α = 90.00°, β = 90.00°, γ = 120.00°
Element x y z (fractional)
Ge: 0.6667 0.3333 0.7468
Cu: 0.6667 0.3333 0.2569
Er: 0.0000 0.0000 0.5000
Ge: 0.3333 0.6667 0.2532
Y: 0.0000 0.0000 0.0000
Cu: 0.3333 0.6667 0.7431

No. 4
The following is a DFT calculation (PBE) of a relaxed structure of YEr2Cu2Ge2.

Its final energy is -0.3831 Ry/atom. The space group is R-3m (166). As for the magnetic moment: 0.0 μB per formula unit.

a = 4.1700 Å, b = 4.1700 Å, c = 10.4550 Å
α = 78.50°, β = 78.50°, γ = 60.00°
Element x y z (fractional)
Y: 0.0000 0.0000 0.0000
Cu: 0.3949 0.3949 0.8152
Er: 0.8783 0.8783 0.3651
Ge: 0.7304 0.7304 0.8089
Er: 0.1217 0.1217 0.6349
Ge: 0.2696 0.2696 0.1911
Cu: 0.6051 0.6051 0.1848

No. 5
The following is a DFT calculation (PBE) of a relaxed structure of Er3Cu5H12.

Its final energy is -0.2891 Ry/atom. The space group is Ia-3d (230). As for the magnetic moment: 0.0 μB per formula unit.

a = 9.9301 Å, b = 9.9301 Å, c = 9.9301 Å
α = 109.47°, β = 109.47°, γ = 109.47°
Element x y z (fractional)
H: 0.4751 0.7942 0.8786
H: 0.8191 0.9034 0.0249
H: 0.9751 0.5966 0.1809
Cu: 0.5000 0.5000 0.0000
Cu: 0.6250 0.8750 0.2500
H: 0.1809 0.0843 0.7058
Er: 0.8750 0.7500 0.1250
H: 0.9034 0.8191 0.5249
H: 0.5249 0.2058 0.1214
Er: 0.2500 0.1250 0.3750
H: 0.0843 0.9034 0.3786
H: 0.9034 0.0843 0.8786
H: 0.9157 0.8191 0.7942
H: 0.7942 0.3191 0.9157
H: 0.1214 0.4157 0.0966
Cu: 0.5000 0.5000 0.5000
H: 0.1214 0.7058 0.5249
Cu: 0.1250 0.3750 0.2500
H: 0.7058 0.5843 0.1809
Cu: 0.2500 0.8750 0.1250
Cu: 0.0000 0.0000 0.5000
H: 0.8191 0.9157 0.2942
H: 0.6809 0.4751 0.5966
H: 0.6214 0.5966 0.9157
H: 0.9157 0.0966 0.6214
Cu: 0.7500 0.6250 0.3750
Cu: 0.7500 0.1250 0.8750
Cu: 0.0000 0.5000 0.5000
H: 0.0249 0.6214 0.7058
Cu: 0.8750 0.6250 0.7500
H: 0.2942 0.4157 0.8191
Er: 0.6250 0.2500 0.3750
H: 0.2058 0.6809 0.0843
H: 0.0843 0.1809 0.2058
H: 0.6214 0.0249 0.2058
H: 0.1809 0.0966 0.9751
H: 0.7942 0.4751 0.3786
H: 0.6809 0.2058 0.5843
H: 0.3191 0.5249 0.4034
H: 0.2058 0.5249 0.6214
H: 0.0966 0.9157 0.1214
Er: 0.3750 0.7500 0.6250
H: 0.8786 0.5843 0.9034
H: 0.5966 0.6214 0.4157
Cu: 0.3750 0.2500 0.1250
H: 0.3191 0.7942 0.4157
Er: 0.7500 0.3750 0.1250
H: 0.4157 0.1214 0.5966
Er: 0.1250 0.8750 0.7500
Cu: 0.0000 0.0000 0.0000
H: 0.5966 0.9751 0.6809
Er: 0.1250 0.2500 0.8750
H: 0.5249 0.3191 0.9034
H: 0.5843 0.8786 0.4034
H: 0.4751 0.6809 0.0966
H: 0.9751 0.3786 0.2942
Er: 0.6250 0.3750 0.7500
H: 0.7058 0.1214 0.0249
Er: 0.3750 0.6250 0.2500
H: 0.3786 0.9751 0.7942
H: 0.4034 0.3786 0.5843
Er: 0.8750 0.1250 0.2500
Cu: 0.5000 0.0000 0.0000
Cu: 0.0000 0.5000 0.0000
H: 0.5843 0.7058 0.6809
Cu: 0.3750 0.1250 0.7500
H: 0.3786 0.4034 0.0843
Cu: 0.1250 0.7500 0.3750
H: 0.4034 0.0249 0.3191
H: 0.8786 0.2942 0.4751
H: 0.0966 0.1809 0.4751
Cu: 0.2500 0.3750 0.6250
Cu: 0.6250 0.7500 0.8750
Er: 0.7500 0.8750 0.6250
Cu: 0.8750 0.2500 0.6250
H: 0.0249 0.4034 0.8191
H: 0.4157 0.2942 0.3191
Er: 0.2500 0.6250 0.8750
Cu: 0.5000 0.0000 0.5000
H: 0.2942 0.8786 0.9751

No. 6
The following is a DFT calculation (PBE) of a relaxed structure of ErCuH.

Its energy relative to the lowest polymorph listed for this composition is 0.000 eV per atom. Its final energy is -0.3249 Ry/atom. The space group is Cmcm (63). As for the magnetic moment: 0.0 μB per formula unit.

a = 3.7164 Å, b = 3.8928 Å, c = 11.9864 Å
α = 90.00°, β = 90.00°, γ = 90.00°
Element x y z (fractional)
Er: 0.7500 0.7500 0.4022
Er: 0.2500 0.2500 0.5978
Cu: 0.7500 0.2500 0.8075
Cu: 0.2500 0.2500 0.3075
H: 0.2500 0.2500 0.9971
Er: 0.7500 0.2500 0.0978
Cu: 0.7500 0.7500 0.6925
H: 0.7500 0.2500 0.4971
H: 0.7500 0.7500 0.0029
Cu: 0.2500 0.7500 0.1925
H: 0.2500 0.7500 0.5029
Er: 0.2500 0.7500 0.9022

No. 7
The following is a DFT calculation (PBE) of a relaxed structure of ErCuH.

Its energy relative to the lowest polymorph listed for this composition is 0.386 eV per atom. Its final energy is -0.2965 Ry/atom. The space group is I4mm (107). As for the magnetic moment: 0.0 μB per formula unit.

a = 3.4183 Å, b = 3.4183 Å, c = 4.8312 Å
α = 110.72°, β = 110.72°, γ = 90.00°
Element x y z (fractional)
Cu: 0.0409 0.0409 0.0819
Er: 0.7137 0.7137 0.4274
H: 0.2454 0.2454 0.4907

No. 8
The following is a DFT calculation (PBE) of a relaxed structure of Er12Cu3H5.

Its final energy is -0.3241 Ry/atom. The space group is Ia-3d (230). As for the magnetic moment: 0.0 μB per formula unit.

a = 12.9285 Å, b = 12.9285 Å, c = 12.9285 Å
α = 109.47°, β = 109.47°, γ = 109.47°
Element x y z (fractional)
Er: 0.6154 0.5946 0.9034
Er: 0.9792 0.3846 0.2880
Cu: 0.3750 0.7500 0.6250
Cu: 0.7500 0.8750 0.6250
Cu: 0.3750 0.6250 0.2500
Er: 0.1154 0.4034 0.0946
Er: 0.0966 0.9054 0.3846
Cu: 0.6250 0.2500 0.3750
H: 0.2500 0.3750 0.6250
Er: 0.2120 0.5208 0.6154
Cu: 0.2500 0.1250 0.3750
Er: 0.5208 0.3088 0.9054
Er: 0.8846 0.5966 0.9054
Er: 0.4054 0.0208 0.3088
Er: 0.4792 0.7880 0.8846
Er: 0.3846 0.4054 0.0966
H: 0.0000 0.5000 0.5000
Cu: 0.6250 0.3750 0.7500
Er: 0.8846 0.2880 0.4792
Er: 0.5946 0.9792 0.6912
H: 0.6250 0.8750 0.2500
Cu: 0.8750 0.7500 0.1250
Er: 0.0208 0.4054 0.8088
Cu: 0.8750 0.1250 0.2500
H: 0.6250 0.7500 0.8750
Cu: 0.1250 0.8750 0.7500
H: 0.0000 0.0000 0.0000
H: 0.2500 0.8750 0.1250
H: 0.8750 0.2500 0.6250
Cu: 0.7500 0.3750 0.1250
Er: 0.4792 0.6912 0.0946
Er: 0.0966 0.1912 0.2120
Er: 0.3088 0.7880 0.4034
Er: 0.0946 0.9034 0.1154
Cu: 0.2500 0.6250 0.8750
H: 0.3750 0.1250 0.7500
H: 0.8750 0.6250 0.7500
Er: 0.3846 0.9792 0.7880
H: 0.3750 0.2500 0.1250
Er: 0.9054 0.8088 0.5208
Cu: 0.1250 0.2500 0.8750
Er: 0.4054 0.3846 0.5966
H: 0.0000 0.5000 0.0000
Er: 0.2880 0.4034 0.8088
H: 0.5000 0.5000 0.0000
Er: 0.5966 0.8846 0.4054
Er: 0.9054 0.0966 0.8846
Er: 0.1912 0.0946 0.9792
Er: 0.9034 0.0946 0.6154
Er: 0.8088 0.9054 0.0208
Er: 0.6912 0.4792 0.5946
H: 0.1250 0.7500 0.3750
Er: 0.7120 0.5966 0.1912
Er: 0.4034 0.1154 0.5946
Er: 0.1154 0.7120 0.5208
H: 0.5000 0.5000 0.5000
Er: 0.9792 0.5946 0.1912
Er: 0.0208 0.6154 0.7120
H: 0.0000 0.0000 0.5000
Er: 0.7880 0.4792 0.3846
H: 0.7500 0.1250 0.8750
Er: 0.5966 0.7120 0.6912
Er: 0.7120 0.1154 0.0208
Er: 0.4034 0.2880 0.3088
Er: 0.2120 0.6912 0.0966
Er: 0.2880 0.8846 0.9792
Er: 0.6154 0.0208 0.2120
H: 0.7500 0.6250 0.3750
Er: 0.1912 0.0966 0.7120
Er: 0.5208 0.2120 0.1154
H: 0.5000 0.0000 0.0000
H: 0.5000 0.0000 0.5000
Er: 0.5946 0.6154 0.4034
H: 0.1250 0.3750 0.2500
Er: 0.7880 0.3088 0.9034
Er: 0.3088 0.5208 0.4054
Er: 0.9034 0.8088 0.7880
Er: 0.6912 0.2120 0.5966
Er: 0.8088 0.9034 0.2880
Er: 0.0946 0.1912 0.4792

No. 9
The following is a DFT calculation (PBE) of a relaxed structure of Er2CuH.

Its final energy is -0.3023 Ry/atom. The space group is R-3m (166). As for the magnetic moment: 0.0 μB per formula unit.

a = 4.1381 Å, b = 4.1381 Å, c = 7.3368 Å
α = 73.62°, β = 73.62°, γ = 60.00°
Element x y z (fractional)
Er: 0.0989 0.0989 0.7033
Cu: 0.5000 0.5000 0.5000
Er: 0.9011 0.9011 0.2967
H: 0.0000 0.0000 0.0000

No. 10
The following is a DFT calculation (PBE) of a relaxed structure of ErCuH6Ir2.

Its final energy is -0.3602 Ry/atom. The space group is C2/c (15). As for the magnetic moment: 0.0 μB per formula unit.

a = 5.9353 Å, b = 5.9353 Å, c = 5.3130 Å
α = 100.84°, β = 100.84°, γ = 96.11°
Element x y z (fractional)
H: 0.3291 0.4946 0.3837
Cu: 0.4010 0.5990 0.7500
H: 0.1457 0.1491 0.0601
Ir: 0.6754 0.9330 0.1747
H: 0.1491 0.1457 0.5601
H: 0.8543 0.8509 0.9399
Ir: 0.0670 0.3246 0.3253
Ir: 0.9330 0.6754 0.6747
H: 0.5054 0.6709 0.1163
H: 0.8509 0.8543 0.4399
H: 0.4946 0.3291 0.8837
H: 0.6709 0.5054 0.6163
Cu: 0.5990 0.4010 0.2500
H: 0.9131 0.4643 0.1382
H: 0.5357 0.0869 0.3618
H: 0.4643 0.9131 0.6382
Er: 0.1810 0.8190 0.2500
Ir: 0.3246 0.0670 0.8253
Er: 0.8190 0.1810 0.7500
H: 0.0869 0.5357 0.8618

No. 11
The following is a DFT calculation (PBE) of a relaxed structure of ErCuH2O4.

Its final energy is -0.4337 Ry/atom. The space group is I222 (23). As for the magnetic moment: 0.0 μB per formula unit.

a = 4.6790 Å, b = 4.6293 Å, c = 4.6293 Å
α = 70.83°, β = 59.64°, γ = 59.64°
Element x y z (fractional)
O: 0.0183 0.8196 0.5861
O: 0.4240 0.1804 0.4139
O: 0.5760 0.5861 0.8196
O: 0.9817 0.4139 0.1804
H: 0.8012 0.6988 0.6988
H: 0.1988 0.3012 0.3012
Er: 0.0000 0.0000 0.0000
Cu: 0.5000 0.5000 0.5000

No. 12
The following is a DFT calculation (PBE) of a relaxed structure of ErCuPH.

Its final energy is -0.3808 Ry/atom. The space group is P4/nmm (129). As for the magnetic moment: 0.0 μB per formula unit.

a = 3.7433 Å, b = 3.7433 Å, c = 7.7146 Å
α = 90.00°, β = 90.00°, γ = 90.00°
Element x y z (fractional)
P: 0.5000 0.0000 0.1963
P: 0.0000 0.5000 0.8037
Cu: 0.0000 0.0000 0.0000
Er: 0.5000 0.0000 0.6705
H: 0.5000 0.5000 0.5000
H: 0.0000 0.0000 0.5000
Cu: 0.5000 0.5000 0.0000
Er: 0.0000 0.5000 0.3295

No. 13
The following is a DFT calculation (PBE) of a relaxed structure of Er2CuHPt6.

Its final energy is -0.4403 Ry/atom. The space group is C2/m (12). As for the magnetic moment: 0.0 μB per formula unit.

a = 5.5789 Å, b = 6.9498 Å, c = 5.5778 Å
α = 66.40°, β = 60.00°, γ = 90.00°
Element x y z (fractional)
Pt: 0.7322 0.6914 0.5350
Er: 0.2881 0.8640 0.4234
Er: 0.7119 0.1360 0.5766
Pt: 0.2274 0.6916 0.0397
Pt: 0.2676 0.3079 0.9607
Pt: 0.7726 0.3084 0.9603
H: 0.5000 0.5000 0.0000
Cu: 0.0000 0.0000 0.0000
Pt: 0.7324 0.6921 0.0393
Pt: 0.2678 0.3086 0.4650

No. 14
The following is a DFT calculation (PBE) of a relaxed structure of ErHfCu4.

Its energy relative to the lowest polymorph listed for this composition is 0.000 eV per atom. Its final energy is -0.3922 Ry/atom. The space group is Pmmm (47). As for the magnetic moment: 0.0 μB per formula unit.

a = 3.1451 Å, b = 4.2709 Å, c = 7.3497 Å
α = 90.00°, β = 90.00°, γ = 90.00°
Element x y z (fractional)
Cu: 0.4986 0.4973 0.6710
Cu: 0.4986 0.9973 0.1600
Cu: 0.4985 0.9973 0.8363
Hf: 0.9986 0.4973 0.9981
Cu: 0.4986 0.4973 0.3253
Er: 0.9986 0.9973 0.4981

No. 15
The following is a DFT calculation (PBE) of a relaxed structure of Er5HfCu4.

Its final energy is -0.3752 Ry/atom. The space group is P4/mmm (123). As for the magnetic moment: 0.0 μB per formula unit.

a = 3.3968 Å, b = 3.3968 Å, c = 18.5012 Å
α = 90.00°, β = 90.00°, γ = 90.00°
Element x y z (fractional)
Er: 0.5000 0.5000 0.3116
Cu: 0.0000 0.0000 0.7813
Er: 0.5000 0.5000 0.6884
Cu: 0.0000 0.0000 0.5936
Er: 0.5000 0.5000 0.1233
Cu: 0.0000 0.0000 0.4064
Er: 0.5000 0.5000 0.8767
Hf: 0.0000 0.0000 0.0000
Er: 0.5000 0.5000 0.5000
Cu: 0.0000 0.0000 0.2187

No. 16
The following is a DFT calculation (PBE) of a relaxed structure of ErHfCu10.

Its final energy is -0.3476 Ry/atom. The space group is Pmmm (47). As for the magnetic moment: 0.0 μB per formula unit.

a = 4.0860 Å, b = 4.9557 Å, c = 8.5076 Å
α = 90.00°, β = 90.00°, γ = 90.00°
Element x y z (fractional)
Hf: 0.0000 0.5000 0.5000
Cu: 0.0000 0.5000 0.8261
Cu: 0.0000 0.0000 0.6610
Cu: 0.5000 0.7465 0.7440
Cu: 0.5000 0.7465 0.2560
Cu: 0.5000 0.2535 0.7440
Cu: 0.5000 0.5000 0.0000
Er: 0.0000 0.0000 0.0000
Cu: 0.5000 0.2535 0.2560
Cu: 0.0000 0.0000 0.3390
Cu: 0.0000 0.5000 0.1739
Cu: 0.5000 0.0000 0.5000

No. 17
The following is a DFT calculation (PBE) of a relaxed structure of ErHf2Cu6.

Its final energy is -0.4119 Ry/atom. The space group is P6/mmm (191). As for the magnetic moment: 0.0 μB per formula unit.

a = 3.0427 Å, b = 7.3784 Å, c = 7.3784 Å
α = 120.00°, β = 90.00°, γ = 90.00°
Element x y z (fractional)
Cu: 0.5000 0.3366 0.3366
Hf: 0.0000 0.3333 0.6667
Er: 0.0000 0.0000 0.0000
Cu: 0.5000 0.0000 0.6634
Cu: 0.5000 0.6634 0.0000
Hf: 0.0000 0.6667 0.3333
Cu: 0.5000 0.0000 0.3366
Cu: 0.5000 0.6634 0.6634
Cu: 0.5000 0.3366 0.0000